Here is a relaxed K3TlAg2Cl6 crystal from the Alexandria database. Energies are from PBE-GGA.

```
12
Lattice="8.2478 0.0000 0.0000 -4.1239 7.1428 0.0000 0.0000 0.0000 7.9882" Properties=species:S:1:pos:R:3 pbc="T T T"
K 0.0000 0.0000 0.0000
K 0.0000 4.7618 4.4799
K 4.1239 2.3809 3.5083
Tl 0.0000 0.0000 3.9941
Ag 0.0000 4.7618 1.1793
Ag 4.1239 2.3809 6.8089
Cl 0.0000 2.4229 2.0955
Cl -2.0256 5.9313 2.0955
Cl 2.0983 1.2114 5.8927
Cl 2.0256 5.9313 2.0955
Cl 6.1495 1.2114 5.8927
Cl 4.1239 4.7199 5.8927
```

Its space group is P-3m1 (164).

Here is a relaxed KTmAg2Cl6 crystal from the Alexandria database. Energies are from PBE-GGA.

```
10
Lattice="3.5372 2.0422 6.4463 -3.5372 2.0422 6.4463 0.0000 -4.0844 6.4463" Properties=species:S:1:pos:R:3 pbc="T T T"
K 0.0000 0.0000 0.0000
Tm 0.0000 0.0000 9.9584
Ag 0.0000 0.0000 3.7889
Ag 0.0000 0.0000 13.7469
Cl -1.1183 -1.9477 8.5860
Cl -2.0091 0.2836 11.6204
Cl -1.1276 1.9423 8.5860
Cl 0.7590 -1.8817 11.6204
Cl 2.2459 0.0053 8.5860
Cl 1.2501 1.5981 11.6204
```

Its space group is R3 (146).

Here is a relaxed KTmAgCl5 crystal from the Alexandria database. Energies are from PBE-GGA.

```
16
Lattice="4.3377 -6.1939 0.0000 4.3377 6.1939 0.0000 -3.6714 0.0000 9.3163" Properties=species:S:1:pos:R:3 pbc="T T T"
K 1.5841 4.2666 6.9872
K 3.4199 -4.2666 2.3291
Tm 4.3377 0.0000 0.0000
Tm 2.5020 0.0000 4.6582
Ag 3.4199 3.8457 2.3291
Ag 1.5841 -3.8457 6.9872
Cl -1.7744 0.6805 8.7468
Cl 1.8936 2.3847 3.8020
Cl 0.0613 -0.6805 4.0887
Cl 4.9461 2.3847 0.8561
Cl 1.5841 0.8703 6.9872
Cl 3.4199 -0.8703 2.3291
Cl 0.0579 -2.3847 8.4602
Cl 4.9427 0.6805 5.2276
Cl 3.1104 -2.3847 5.5143
Cl 6.7784 -0.6805 0.5695
```

Its space group is C2/c (15).

Here is a relaxed KTmAgCl6 crystal from the Alexandria database. Energies are from PBE-GGA.

```
9
Lattice="6.7126 0.0000 0.0000 -2.9193 6.0494 0.0000 -0.2470 -0.3809 6.9896" Properties=species:S:1:pos:R:3 pbc="T T T"
K 0.0000 0.0000 0.0000
Tm 0.1511 3.8539 3.4981
Ag 3.4649 1.7706 3.4971
Cl -1.1026 1.9043 4.8139
Cl -1.7197 3.7573 1.7951
Cl -0.5669 5.5773 5.2089
Cl 1.4923 2.0990 1.9882
Cl 2.3139 3.4034 5.0074
Cl 1.3587 5.8307 2.1804
```

Its space group is P1 (1).

Here is a relaxed KTmAg2Cl8 crystal from the Alexandria database. Energies are from PBE-GGA.

```
12
Lattice="-3.3509 3.3509 7.1858 3.3509 -3.3509 7.1858 3.3509 3.3509 -7.1858" Properties=species:S:1:pos:R:3 pbc="T T T"
K 0.0000 0.0000 0.0000
Tm 3.3509 0.0000 3.5929
Ag 0.0000 0.0000 7.1858
Ag 0.0000 3.3509 3.5929
Cl 1.9745 -0.9316 5.8652
Cl 2.4193 1.3764 1.3206
Cl -1.2072 1.3720 2.7176
Cl 1.3764 4.2825 -1.3206
Cl 1.9789 2.1437 4.4683
Cl 0.9316 1.9745 8.5064
Cl 1.2072 5.3298 2.7176
Cl -1.9789 4.5581 4.4683
```

Its space group is I-4 (82).

Here is a relaxed KTm2AgCl8 crystal from the Alexandria database. Energies are from PBE-GGA.

```
12
Lattice="6.6030 0.0000 0.0000 0.0000 8.0899 0.0000 -0.6756 0.0000 6.8244" Properties=species:S:1:pos:R:3 pbc="T T T"
K 0.0000 0.0000 0.0000
Tm 2.9637 2.0747 3.4122
Tm 2.9637 6.0152 3.4122
Ag 0.0000 4.0449 0.0000
Cl 1.5475 2.2098 1.2726
Cl 1.5475 5.8801 1.2726
Cl 1.4838 4.0449 4.3891
Cl 1.5425 0.0000 4.3457
Cl 4.3848 0.0000 2.4787
Cl 4.4435 4.0449 2.4353
Cl 4.3798 2.2098 5.5518
Cl 4.3798 5.8801 5.5518
```

Its space group is P2/m (10).

Here is a relaxed KUAgCl6 crystal from the Alexandria database. Energies are from PBE-GGA.

```
18
Lattice="6.9680 0.0000 0.0000 -3.4840 6.0345 0.0000 0.0000 0.0000 14.0939" Properties=species:S:1:pos:R:3 pbc="T T T"
K 0.0000 0.0000 0.0000
K 0.0000 0.0000 7.0470
U 0.0000 4.0230 3.5235
U 3.4840 2.0115 10.5704
Ag 0.0000 4.0230 10.5704
Ag 3.4840 2.0115 3.5235
Cl -1.1655 2.2326 1.9705
Cl -2.1333 3.9089 5.0765
Cl 1.1655 2.2326 5.0765
Cl -0.9678 5.9276 1.9705
Cl 2.5162 0.1069 9.0174
Cl 1.3507 2.1256 12.1234
Cl 2.1333 3.9089 1.9705
Cl 0.9678 5.9276 5.0765
Cl 4.4518 0.1069 12.1234
Cl 2.3185 3.8019 9.0174
Cl 5.6173 2.1256 9.0174
Cl 4.6495 3.8019 12.1234
```

Its space group is P-31c (163).

Here is a relaxed K3UAg2Cl9 crystal from the Alexandria database. Energies are from PBE-GGA.

```
15
Lattice="7.5508 0.0000 0.0000 -3.7754 6.5392 0.0000 0.0000 0.0000 9.6037" Properties=species:S:1:pos:R:3 pbc="T T T"
K 0.0000 0.0000 0.0000
K 0.0000 4.3595 7.3251
K 3.7754 2.1797 2.2786
U 0.0000 0.0000 4.8018
Ag 0.0000 4.3595 1.5089
Ag 3.7754 2.1797 8.0948
Cl -1.8877 3.2696 0.0000
Cl 0.0000 2.1117 3.2381
Cl -1.9466 5.4833 3.2381
Cl 1.8288 1.0559 6.3656
Cl 3.7754 0.0000 0.0000
Cl 1.8877 3.2696 0.0000
Cl 1.9466 5.4833 3.2381
Cl 5.7220 1.0559 6.3656
Cl 3.7754 4.4275 6.3656
```

Its space group is P-3m1 (164).

Here is a relaxed KV2AgCl8 crystal from the Alexandria database. Energies are from PBE-GGA.

```
12
Lattice="6.6566 0.0000 0.0000 -3.3283 5.7648 0.0000 0.0000 0.0000 9.3806" Properties=species:S:1:pos:R:3 pbc="T T T"
K 0.0000 0.0000 0.0000
V 0.0000 3.8432 7.0514
V 3.3283 1.9216 2.3293
Ag 0.0000 0.0000 4.6903
Cl -0.9618 1.9167 6.4271
Cl -1.1875 5.6394 6.4271
Cl 1.1790 1.7913 2.9535
Cl 0.0000 3.8432 9.2744
Cl 3.3283 1.9216 0.1062
Cl 2.1493 3.9735 6.4271
Cl 4.5158 0.1254 2.9535
Cl 4.2902 3.8481 2.9535
```

Its space group is P-3 (147).

Here is a relaxed K3VAg2Cl9 crystal from the Alexandria database. Energies are from PBE-GGA.

```
15
Lattice="7.2939 0.0000 0.0000 -3.6469 6.3167 0.0000 0.0000 0.0000 8.9168" Properties=species:S:1:pos:R:3 pbc="T T T"
K 0.0000 0.0000 0.0000
K 0.0000 4.2111 6.4073
K 3.6469 2.1056 2.5095
V 0.0000 0.0000 4.4584
Ag 0.0000 4.2111 1.5293
Ag 3.6469 2.1056 7.3875
Cl -1.8235 3.1583 0.0000
Cl 0.0000 1.9286 3.1001
Cl -1.9767 5.3524 3.1001
Cl 1.6702 0.9643 5.8167
Cl 3.6469 0.0000 0.0000
Cl 1.8235 3.1583 0.0000
Cl 1.9767 5.3524 3.1001
Cl 5.6237 0.9643 5.8167
Cl 3.6469 4.3881 5.8167
```

Its space group is P-3m1 (164).

Here is a relaxed KVAgCl6 crystal from the Alexandria database. Energies are from PBE-GGA.

```
9
Lattice="6.7728 0.0000 0.0000 -3.3864 5.8654 0.0000 0.0000 0.0000 6.6119" Properties=species:S:1:pos:R:3 pbc="T T T"
K 0.0000 0.0000 0.0000
V 3.3864 1.9551 3.3059
Ag 0.0000 3.9103 3.3059
Cl 2.5139 0.2614 4.6581
Cl 1.4833 2.0465 1.9538
Cl 4.2589 0.2614 1.9538
Cl 2.3558 3.5576 4.6581
Cl 5.2895 2.0465 4.6581
Cl 4.4170 3.5576 1.9538
```

Its space group is P312 (149).

Here is a relaxed KVAg2Cl8 crystal from the Alexandria database. Energies are from PBE-GGA.

```
12
Lattice="6.1813 0.0000 0.0000 1.1386 6.8327 0.0000 1.2521 3.2787 8.2541" Properties=species:S:1:pos:R:3 pbc="T T T"
K 0.0000 0.0000 0.0000
V 1.1953 5.0557 4.1270
Ag 4.5748 6.2437 6.6391
Ag 3.9972 3.8677 1.6149
Cl 1.9512 5.8413 6.2003
Cl 2.2540 6.7580 3.0973
Cl 3.0758 3.7269 3.9541
Cl 5.1325 8.5019 7.7442
Cl 3.4395 1.6095 0.5099
Cl 5.4962 6.3845 4.3000
Cl 6.3180 3.3534 5.1568
Cl 6.6208 4.2701 2.0537
```

Its space group is P-1 (2).

Raw formation energy in eV/atom, matching the order above: -1.146, -1.483, -1.758, -1.568, -1.154, -1.901, -1.524, -1.457, -1.162, -1.244, -1.150, -0.945